First-principles (PBE+U) data for an optimized crystal structure of MnTlCrTcF, as listed in Alexandria.

The structure belongs to space group Cm (No. 8); the cell edges are 10.449, 3.092 and 7.464 Å and the angles 90.00°, 122.26° and 90.00°. The asymmetric unit holds Mn at (0.000, 0.000, 0.000), Tl at (0.369, 0.000, 0.342), Cr at (0.201, 0.000, 0.669), Tc at (0.139, 0.500, 0.355) and F at (0.118, 0.000, 0.851).

Its density is 7.0 g/cm³. The calculation puts the energy at -5.961 eV/atom. The calculation puts the relative energy among the computed polymorphs at 0.079 eV/atom.